The following is a SCAN calculation of a crystal of Sc2ReCl relaxed with PBEsol, from Alexandria.

The structure in POSCAR format:
```
Sc2ReCl
1.0
-1.6331 2.7774 4.0393
1.6331 -2.7774 4.0393
1.6331 2.7774 -4.0393
Sc Re Cl
2 1 1
Cartesian
0.0000 0.0000 1.9244 Sc
0.0000 0.0000 6.1542 Sc
0.0000 2.7774 0.0000 Re
1.6331 0.0000 0.0000 Cl
```

Total moment (Bohr magnetons per cell): 0.018
Energy relative to the elements, uncorrected (eV per atom): 0.039
Space group: Immm
Fermi-level density of states (states/eV/f.u.): 3.50
Crystal system: orthorhombic
Polymorph energy (0 for the lowest one) (eV per atom): 0.842



The following is a SCAN calculation of a crystal of ScReCl2 relaxed with PBEsol, from Alexandria.

The structure in POSCAR format:
```
ScReCl2
1.0
1.4973 0.8645 8.3563
-1.4973 0.8645 8.3563
0.0000 -1.7289 8.3563
Sc Re Cl
1 1 2
Cartesian
0.0000 0.0000 0.0000 Sc
0.0000 0.0000 12.5345 Re
0.0000 0.0000 10.2014 Cl
0.0000 0.0000 14.8676 Cl
```

Total moment (Bohr magnetons per cell): 0.001
Energy relative to the elements, uncorrected (eV per atom): -0.309
Space group: R-3m
Fermi-level density of states (states/eV/f.u.): 2.39
Crystal system: trigonal
Polymorph energy (0 for the lowest one) (eV per atom): 0.000



The following is a SCAN calculation of a crystal of ScReCl2 relaxed with PBEsol, from Alexandria.

The structure in POSCAR format:
```
ScReCl2
1.0
2.9141 -4.1672 0.0000
2.9141 4.1672 0.0000
-1.8957 0.0000 2.8159
Sc Re Cl
1 1 2
Cartesian
0.0000 0.0000 0.0000 Sc
2.9141 0.0000 0.0000 Re
1.4571 2.0836 0.0000 Cl
1.4571 -2.0836 0.0000 Cl
```

Total moment (Bohr magnetons per cell): 1.275
Energy relative to the elements, uncorrected (eV per atom): -0.050
Space group: C2/m
Fermi-level density of states (states/eV/f.u.): 2.24
Crystal system: monoclinic
Polymorph energy (0 for the lowest one) (eV per atom): 0.259



The following is a SCAN calculation of a crystal of Sc2ReTcCl relaxed with PBEsol, from Alexandria.

The structure in POSCAR format:
```
Sc2ReTcCl
1.0
4.5747 0.0000 0.0000
0.0000 4.5747 0.0000
0.0000 0.0000 4.2857
Sc Re Tc Cl
2 1 1 1
Cartesian
0.0000 2.2874 0.0000 Sc
2.2874 0.0000 0.0000 Sc
0.0000 0.0000 2.1428 Re
2.2874 2.2874 2.1428 Tc
0.0000 0.0000 0.0000 Cl
```

Total moment (Bohr magnetons per cell): 1.622
Energy relative to the elements, uncorrected (eV per atom): 0.548
Space group: P4/mmm
Fermi-level density of states (states/eV/f.u.): 3.44
Crystal system: tetragonal



The following is a SCAN calculation of a crystal of ReSe4Cl relaxed with PBEsol, from Alexandria.

The structure in POSCAR format:
```
ReSe4Cl
1.0
0.0000 3.9141 3.9141
3.9141 0.0000 3.9141
3.9141 3.9141 0.0000
Re Se Cl
1 4 1
Cartesian
0.0000 0.0000 0.0000 Re
2.9278 2.9278 2.9278 Se
4.9003 4.9003 2.9278 Se
4.9003 2.9278 4.9003 Se
2.9278 4.9003 4.9003 Se
5.8711 5.8711 5.8711 Cl
```

Total moment (Bohr magnetons per cell): 4.186
Energy relative to the elements, uncorrected (eV per atom): 1.206
Space group: F-43m
Fermi-level density of states (states/eV/f.u.): 2.70
Crystal system: cubic



The following is a SCAN calculation of a crystal of ReSe2Cl relaxed with PBEsol, from Alexandria.

The structure in POSCAR format:
```
ReSe2Cl
1.0
-3.2926 3.2926 4.7303
3.2926 -3.2926 4.7303
3.2926 3.2926 -4.7303
Re Se Cl
2 4 2
Cartesian
0.0000 0.0000 0.0000 Re
0.0000 3.2926 2.3652 Re
4.9389 1.1435 -1.1826 Se
1.1435 1.6463 1.1826 Se
-1.6463 2.1491 3.5477 Se
2.1491 1.6463 5.9129 Se
3.2926 0.0000 2.3652 Cl
0.0000 0.0000 4.7303 Cl
```

Total moment (Bohr magnetons per cell): 0.001
Energy relative to the elements, uncorrected (eV per atom): 0.207
Space group: I-42d
Fermi-level density of states (states/eV/f.u.): 2.93
Crystal system: tetragonal
Polymorph energy (0 for the lowest one) (eV per atom): 0.000



The following is a SCAN calculation of a crystal of ReSe2Cl relaxed with PBEsol, from Alexandria.

The structure in POSCAR format:
```
ReSe2Cl
1.0
3.1922 0.0000 0.0000
0.0000 4.3663 0.0000
0.0000 0.0000 4.7048
Re Se Cl
1 2 1
Cartesian
0.0000 0.0000 0.0000 Re
0.0000 2.1832 2.3524 Se
1.5961 0.0000 2.3524 Se
1.5961 2.1832 0.0000 Cl
```

Total moment (Bohr magnetons per cell): 0.000
Energy relative to the elements, uncorrected (eV per atom): 1.264
Space group: Pmmm
Fermi-level density of states (states/eV/f.u.): 3.04
Crystal system: orthorhombic
Polymorph energy (0 for the lowest one) (eV per atom): 1.057



The following is a SCAN calculation of a crystal of ReSe2Cl relaxed with PBEsol, from Alexandria.

The structure in POSCAR format:
```
ReSe2Cl
1.0
2.6188 0.0000 0.0000
0.0000 3.2662 0.0000
-0.0378 0.0000 8.9670
Re Se Cl
1 2 1
Cartesian
0.0000 0.0000 0.0000 Re
-0.0023 1.6331 1.9231 Se
2.5832 1.6331 7.0438 Se
1.2905 0.0000 4.4835 Cl
```

Total moment (Bohr magnetons per cell): 0.000
Energy relative to the elements, uncorrected (eV per atom): 0.208
Space group: P2/m
Fermi-level density of states (states/eV/f.u.): 2.09
Crystal system: monoclinic
Polymorph energy (0 for the lowest one) (eV per atom): 0.000



The following is a SCAN calculation of a crystal of ReSe2Cl relaxed with PBEsol, from Alexandria.

The structure in POSCAR format:
```
ReSe2Cl
1.0
2.9185 0.0000 0.0000
0.0000 2.9185 0.0000
0.0000 0.0000 9.0730
Re Se Cl
1 2 1
Cartesian
0.0000 0.0000 0.0000 Re
0.0000 0.0000 4.4228 Se
1.4592 1.4592 1.5068 Se
1.4592 1.4592 7.4367 Cl
```

Total moment (Bohr magnetons per cell): 0.000
Energy relative to the elements, uncorrected (eV per atom): 0.345
Space group: P4mm
Fermi-level density of states (states/eV/f.u.): 1.91
Crystal system: tetragonal
Polymorph energy (0 for the lowest one) (eV per atom): 0.138



The following is a SCAN calculation of a crystal of TlRe3Se4Cl2 relaxed with PBEsol, from Alexandria.

The structure in POSCAR format:
```
TlRe3Se4Cl2
1.0
6.5407 0.0000 0.0000
3.1472 8.1764 0.0000
1.1819 0.3914 8.7249
Tl Re Se Cl
2 6 8 4
Cartesian
2.2341 1.3207 4.0774 Tl
8.6356 7.2471 4.6475 Tl
3.1176 3.4647 0.2047 Re
4.3889 5.6421 0.9275 Re
5.5400 5.2705 7.1051 Re
5.3298 3.2974 1.6198 Re
6.4809 2.9257 7.7974 Re
7.7521 5.1031 8.5202 Re
3.5150 6.2532 8.2156 Se
3.1952 4.1902 2.6229 Se
4.3263 3.1347 6.5255 Se
6.7784 7.3355 7.8519 Se
4.0913 1.2323 0.8730 Se
6.5434 5.4331 2.1994 Se
7.6745 4.3776 6.1020 Se
7.3548 2.3146 0.5093 Se
3.7646 7.6379 2.1147 Cl
4.9522 6.3241 5.0193 Cl
5.9175 2.2437 3.7056 Cl
7.1051 0.9299 6.6102 Cl
```

Total moment (Bohr magnetons per cell): 0.000
Energy relative to the elements, uncorrected (eV per atom): -0.651
Space group: P-1
Fermi-level density of states (states/eV/f.u.): 0.00
Crystal system: triclinic



The following is a SCAN calculation of a crystal of Tl5Re6Se8Cl7 relaxed with PBEsol, from Alexandria.

The structure in POSCAR format:
```
Tl5Re6Se8Cl7
1.0
4.6797 2.7018 17.1687
-4.6797 2.7018 17.1687
0.0000 -5.4036 17.1687
Tl Re Se Cl
10 12 16 14
Cartesian
0.0000 0.0000 0.0000 Tl
-1.4288 -2.9224 22.1761 Tl
0.0000 0.0000 9.9994 Tl
-2.8632 -0.0032 30.7604 Tl
-1.8165 2.6986 22.1761 Tl
0.0000 0.0000 25.7531 Tl
1.4344 -2.4780 30.7605 Tl
0.0000 0.0000 35.7524 Tl
3.2453 0.2238 22.1761 Tl
1.4288 2.4812 30.7605 Tl
-3.6928 -1.5552 25.3887 Re
-3.1931 -2.9810 27.5340 Re
-0.4996 -1.4280 16.8043 Re
-1.4866 -0.2792 18.9496 Re
-0.9869 1.1467 16.8043 Re
0.9851 -1.1478 18.9496 Re
1.4865 0.2813 16.8043 Re
0.5015 1.4270 18.9496 Re
3.1932 -2.4205 25.3886 Re
-0.9851 4.2558 27.5339 Re
0.4996 3.9757 25.3886 Re
4.1782 -1.2748 27.5340 Re
-0.9605 -2.7610 18.9148 Se
-1.8091 -3.2560 25.4233 Se
-2.7689 -0.4895 27.4991 Se
0.0000 0.0000 14.7721 Se
-1.9108 2.2123 18.9148 Se
-2.7645 0.4929 34.0076 Se
0.0000 0.0000 20.9812 Se
-1.9152 3.1947 25.4233 Se
1.8083 -2.1532 27.4991 Se
0.9554 -2.6405 34.0076 Se
2.8714 0.5486 18.9148 Se
0.0000 0.0000 40.5252 Se
0.9605 2.6427 27.4991 Se
3.7243 0.0613 25.4233 Se
0.0000 0.0000 46.7343 Se
1.8091 2.1476 34.0077 Se
0.0000 0.0000 5.1982 Cl
-2.3864 -0.1125 23.9382 Cl
-2.2932 -2.8143 32.5225 Cl
-1.2859 -3.3764 28.9828 Cl
1.2906 -2.0105 23.9382 Cl
-2.3986 0.1000 37.5671 Cl
-2.2811 2.8018 28.9828 Cl
0.0000 0.0000 30.9513 Cl
-1.2906 3.3932 32.5225 Cl
1.0958 2.1230 23.9382 Cl
1.1127 -2.1272 37.5671 Cl
3.5839 -0.5789 32.5225 Cl
3.5670 0.5746 28.9828 Cl
1.2859 2.0273 37.5671 Cl
```

Total moment (Bohr magnetons per cell): 0.000
Energy relative to the elements, uncorrected (eV per atom): -0.754
Space group: R3c
Fermi-level density of states (states/eV/f.u.): 0.00
Crystal system: trigonal



The following is a SCAN calculation of a crystal of ReSiCl2 relaxed with PBEsol, from Alexandria.

The structure in POSCAR format:
```
ReSiCl2
1.0
0.0000 3.1284 3.1284
3.1284 0.0000 3.1284
3.1284 3.1284 0.0000
Re Si Cl
1 1 2
Cartesian
0.0000 0.0000 0.0000 Re
4.6927 4.6927 4.6927 Si
1.5642 1.5642 1.5642 Cl
3.1284 3.1284 3.1284 Cl
```

Total moment (Bohr magnetons per cell): 2.256
Energy relative to the elements, uncorrected (eV per atom): 1.075
Space group: F-43m
Fermi-level density of states (states/eV/f.u.): 1.91
Crystal system: cubic
Polymorph energy (0 for the lowest one) (eV per atom): 0.576



The following is a SCAN calculation of a crystal of ReSi2Cl relaxed with PBEsol, from Alexandria.

The structure in POSCAR format:
```
ReSi2Cl
1.0
-1.3958 1.9761 7.0278
1.3958 -1.9761 7.0278
1.3958 1.9761 -7.0278
Re Si Cl
1 2 1
Cartesian
0.0000 0.0000 0.0000 Re
1.3958 0.0000 2.1211 Si
0.0000 0.0000 6.6917 Si
0.0000 1.9761 3.1692 Cl
```

Total moment (Bohr magnetons per cell): 0.000
Energy relative to the elements, uncorrected (eV per atom): 0.373
Space group: Imm2
Fermi-level density of states (states/eV/f.u.): 1.69
Crystal system: orthorhombic
Polymorph energy (0 for the lowest one) (eV per atom): 0.000